Entry from Alexandria via LeMat-Bulk: Pm6CdCo after structural relaxation (PBE).

abc: 6.3653 7.9512 6.5444
angles: 52.59 80.40 74.07
Fractional coordinates of all 8 atoms:
Pm  0.7787  0.5712  0.6181
Pm  0.7787  0.1893  0.3819
Pm  0.2213  0.8107  0.6181
Pm  0.2213  0.4288  0.3819
Pm  0.6366  0.7743  0.0000
Pm  0.3634  0.2257  0.0000
Cd  0.0000  0.0000  0.0000
Co  0.5000  0.5000  0.0000

Output
**Final energy**: -0.3335 Ry/atom
**Volume**: 31.63 A^3/atom
**SG**: C2/m, No. 12
**Calculated density**: 6.835 Mg/m³


Entry from Alexandria via LeMat-Bulk: PmCdCo4 after structural relaxation (PBE).

abc: 5.0504 5.0504 5.0504
angles: 60.00 60.00 60.00
Site moments in Bohr magnetons follow the coordinates.
Fractional coordinates of all 6 atoms:
Cd  0.0000  0.0000  0.0000  -0.04
Co  0.6257  0.6257  0.1229  1.42
Co  0.6257  0.1229  0.6257  1.42
Co  0.6257  0.6257  0.6257  1.42
Co  0.1229  0.6257  0.6257  1.42
Pm  0.2500  0.2500  0.2500  -0.25

Output
**Final energy**: -0.4195 Ry/atom
**Volume**: 15.18 A^3/atom
**SG**: F-43m, No. 216
**Calculated density**: 8.990 Mg/m³


Entry from Alexandria via LeMat-Bulk: Pm6CdCo2 after structural relaxation (PBE).

abc: 5.1277 5.7439 9.1640
angles: 79.21 90.00 116.51
Fractional coordinates of all 9 atoms:
Pm  0.9669  0.9338  0.8482
Pm  0.7074  0.4147  0.1608
Pm  0.2926  0.5853  0.8392
Pm  0.6640  0.3280  0.6235
Pm  0.3360  0.6720  0.3765
Pm  0.0331  0.0662  0.1518
Cd  0.0000  0.0000  0.5000
Co  0.6110  0.2220  0.9120
Co  0.3890  0.7780  0.0880

Output
**Distance to the lowest polymorph of the same formula**: 0.090 eV/atom
**Final energy**: -0.3603 Ry/atom
**Volume**: 26.24 A^3/atom
**SG**: C2/m, No. 12
**Calculated density**: 7.736 Mg/m³


no.,energy of formation from the pure elements (eV/atom)
1,0.028
2,-0.025
3,-0.054